Density functional theory data (GGA+U) for crystalline Li4CoO3F at its relaxed geometry.

Summary:
E	-5.0969	eV per atom
magnetic moment	0.44	μB per atom
offset from the most stable computed form	28.8	meV/atom

Cell lengths 5.2500, 5.4175, 7.8166 Å; angles 71.11, 79.56, 65.14 degrees
Last column: nearest neighbours and their distance in Å.
Atoms (fractional coordinates):
Li 0.0000 0.0000 0.0000  1 F 1.95, 3 O 2.02-2.13
Li 0.0071 0.3256 0.5682  1 F 1.97, 3 O 1.98-2.05
Li 0.4625 0.7712 0.5536  3 O 1.96-2.06, 1 F 2.00
Li 0.4708 0.2694 0.4070  4 O 1.94-2.11
Li 0.4889 0.5267 0.9989  1 F 1.98, 3 O 1.99-2.11
Li 0.5188 0.9701 0.2098  2 F 1.88-1.96, 2 O 2.00-2.01
Li 0.9440 0.6106 0.7863  4 O 1.96-2.04
Li 0.9794 0.8759 0.4328  3 O 1.98-2.07
Co 0.5390 0.2244 0.7303  3 O 1.78-1.81
Co 0.9681 0.3777 0.1988  3 O 1.77-1.91
O 0.0832 0.5965 0.0083  1 Co 1.77, 1 Li 1.97
O 0.2104 0.1106 0.3885  1 Co 1.91, 5 Li 1.94-2.02
O 0.2561 0.5062 0.5942  1 Co 1.81, 1 Li 2.00
O 0.6769 0.9444 0.6255  1 Co 1.78, 3 Li 1.96-1.98
O 0.7381 0.2041 0.1966  1 Co 1.82, 2 Li 1.98-2.01
O 0.7674 0.3315 0.8060  1 Co 1.79
F 0.3969 0.9102 0.0202  3 Li 1.88-1.98
F 0.7700 0.6292 0.3746  3 Li 1.96-2.00, 1 Co 2.08